Here is a relaxed structure of TaBi3I from the Alexandria database. Energies are from PBE.

Offset from the most stable computed form   1.507 eV/atom
Density   8.03 Mg/m³
DOS at the Fermi energy   1.31 states/eV per atom
Energy   -3.172 eV per atom
Formation energy from raw total energies   1837 meV/atom

a b c (Å): 5.7821 5.7821 5.7821
angles (deg): 90.00 90.00 90.00
Space group Pm-3m (No. 221)
Unique sites:
Ta1 0.0000 0.0000 0.0000 [1 per cell]
Bi1 0.0000 0.5000 0.5000 [3 per cell]
I1 0.5000 0.5000 0.5000 [1 per cell]